w) The following is a DFT calculation (GGA-PBE) of a geometry-optimized PrDyGaPd structure.

Properties
The calculation puts the magnetization at 0.0 μB/cell. As for the space group: F-43m. The value obtained for the calculated volume is 96 Å³ per cell.

```
4
Lattice="0.000 3.629 3.629 3.629 0.000 3.629 3.629 3.629 0.000" Properties=species:S:1:pos:R:3 pbc="T T T"
Pr 0.000 0.000 0.000
Dy 3.629 3.629 3.629
Ga 5.444 5.444 5.444
Pd 1.815 1.815 1.815
```


x) The following is a DFT calculation (GGA-PBE) of a geometry-optimized PrDyGaPd structure.

Properties
The calculation puts the magnetization at 0.0 μB/cell. As for the space group: Amm2. The value obtained for the calculated volume is 98 Å³ per cell.

```
4
Lattice="4.456 0.000 0.000 0.000 1.933 5.692 0.000 -1.933 5.692" Properties=species:S:1:pos:R:3 pbc="T T T"
Pr 0.000 0.000 0.000
Dy 2.228 0.000 3.252
Ga 2.228 0.000 6.570
Pd 0.000 0.000 8.242
```


Tell me which of them is the least stable. Sure, it is w).


w) The following is a DFT calculation (GGA-PBE) of a geometry-optimized DyScGaPd structure.

Properties
The calculation puts the magnetization at 0.0 μB/cell. As for the space group: F-43m. The value obtained for the calculated volume is 82 Å³ per cell.

```
4
Lattice="0.000 3.451 3.451 3.451 0.000 3.451 3.451 3.451 0.000" Properties=species:S:1:pos:R:3 pbc="T T T"
Dy 0.000 0.000 0.000
Sc 3.451 3.451 3.451
Ga 5.176 5.176 5.176
Pd 1.725 1.725 1.725
```


x) The following is a DFT calculation (GGA-PBE) of a geometry-optimized DyScGaPd structure.

Properties
The calculation puts the magnetization at 0.0 μB/cell. As for the space group: Amm2. The value obtained for the calculated volume is 85 Å³ per cell.

```
4
Lattice="4.357 0.000 0.000 0.000 1.786 5.473 0.000 -1.786 5.473" Properties=species:S:1:pos:R:3 pbc="T T T"
Dy 0.000 0.000 0.000
Sc 2.179 0.000 3.118
Ga 0.000 0.000 7.990
Pd 2.179 0.000 6.309
```


Tell me which of them is the least stable. Sure, it is w).


w) The following is a DFT calculation (GGA-PBE) of a geometry-optimized DyYGaPd structure.

Properties
The calculation puts the magnetization at 0.0 μB/cell. As for the space group: Amm2. The value obtained for the calculated volume is 93 Å³ per cell.

```
4
Lattice="4.512 0.000 0.000 0.000 1.872 5.493 0.000 -1.872 5.493" Properties=species:S:1:pos:R:3 pbc="T T T"
Dy 0.000 0.000 0.000
Y 2.256 0.000 7.870
Ga 2.256 0.000 4.805
Pd 0.000 0.000 3.137
```


x) The following is a DFT calculation (GGA-PBE) of a geometry-optimized DyYGaPd structure.

Properties
The calculation puts the magnetization at 0.0 μB/cell. As for the space group: F-43m. The value obtained for the calculated volume is 90 Å³ per cell.

```
4
Lattice="0.000 3.556 3.556 3.556 0.000 3.556 3.556 3.556 0.000" Properties=species:S:1:pos:R:3 pbc="T T T"
Dy 0.000 0.000 0.000
Y 3.556 3.556 3.556
Ga 5.333 5.333 5.333
Pd 1.778 1.778 1.778
```


Tell me which of them is the least stable. Sure, it is x).


w) The following is a DFT calculation (GGA-PBE) of a geometry-optimized PmDy3Ga4 structure.

Properties
The calculation puts the magnetization at 0.0 μB/cell. As for the space group: Immm. The value obtained for the calculated volume is 203 Å³ per cell.

```
8
Lattice="-1.781 3.409 8.363 1.781 -3.409 8.363 1.781 3.409 -8.363" Properties=species:S:1:pos:R:3 pbc="T T T"
Pm 0.000 0.000 0.000
Dy 1.781 0.000 3.386
Dy 0.000 0.000 8.363
Dy 0.000 3.409 4.977
Ga 1.781 -1.295 6.168
Ga 0.000 2.114 2.195
Ga 1.781 1.295 6.168
Ga 0.000 4.705 2.195
```


x) The following is a DFT calculation (GGA-PBE) of a geometry-optimized PmDy3Ga4 structure.

Properties
The calculation puts the magnetization at 0.0 μB/cell. As for the space group: P4/mmm. The value obtained for the calculated volume is 186 Å³ per cell.

```
8
Lattice="5.085 0.000 0.000 0.000 5.085 0.000 0.000 0.000 7.183" Properties=species:S:1:pos:R:3 pbc="T T T"
Pm 0.000 0.000 0.000
Dy 0.000 0.000 3.592
Dy 2.542 2.542 0.000
Dy 2.542 2.542 3.592
Ga 0.000 2.542 1.837
Ga 0.000 2.542 5.346
Ga 2.542 0.000 1.837
Ga 2.542 0.000 5.346
```


Tell me which of them is the least stable. Sure, it is w).


w) The following is a DFT calculation (GGA-PBE) of a geometry-optimized Pm2DyGa6 structure.

Properties
The calculation puts the magnetization at 0.0 μB/cell. As for the space group: Immm. The value obtained for the calculated volume is 210 Å³ per cell.

```
9
Lattice="-2.187 3.542 6.770 2.187 -3.542 6.770 2.187 3.542 -6.770" Properties=species:S:1:pos:R:3 pbc="T T T"
Pm 0.000 0.000 1.744
Pm 0.000 0.000 11.796
Dy 0.000 3.542 0.000
Ga 2.187 2.207 -2.427
Ga 2.187 1.357 0.000
Ga 2.187 2.207 2.427
Ga 0.000 1.335 4.343
Ga 0.000 2.184 6.770
Ga 0.000 1.335 9.197
```


x) The following is a DFT calculation (GGA-PBE) of a geometry-optimized Pm2DyGa6 structure.

Properties
The calculation puts the magnetization at 0.0 μB/cell. As for the space group: P6/mmm. The value obtained for the calculated volume is 197 Å³ per cell.

```
9
Lattice="7.349 0.000 0.000 -3.675 6.365 0.000 0.000 0.000 4.216" Properties=species:S:1:pos:R:3 pbc="T T T"
Pm 0.000 4.243 0.000
Pm 3.675 2.122 0.000
Dy 0.000 0.000 0.000
Ga -1.221 2.115 2.108
Ga -2.454 4.250 2.108
Ga 2.442 0.000 2.108
Ga 1.221 2.115 2.108
Ga 4.908 0.000 2.108
Ga 2.454 4.250 2.108
```


Tell me which of them is the least stable. Sure, it is w).


w) The following is a DFT calculation (GGA-PBE) of a geometry-optimized Pm2DyGa structure.

Properties
The calculation puts the magnetization at 0.0 μB/cell. As for the space group: P4/mmm. The value obtained for the calculated volume is 110 Å³ per cell.

```
4
Lattice="4.784 0.000 0.000 0.000 4.784 0.000 0.000 0.000 4.822" Properties=species:S:1:pos:R:3 pbc="T T T"
Pm 0.000 2.392 0.000
Pm 2.392 0.000 0.000
Dy 0.000 0.000 2.411
Ga 2.392 2.392 2.411
```


x) The following is a DFT calculation (GGA-PBE) of a geometry-optimized Pm2DyGa structure.

Properties
The calculation puts the magnetization at 0.0 μB/cell. As for the space group: Fm-3m. The value obtained for the calculated volume is 112 Å³ per cell.

```
4
Lattice="0.000 3.822 3.822 3.822 0.000 3.822 3.822 3.822 0.000" Properties=species:S:1:pos:R:3 pbc="T T T"
Pm 1.911 1.911 1.911
Pm 5.733 5.733 5.733
Dy 0.000 0.000 0.000
Ga 3.822 3.822 3.822
```


y) The following is a DFT calculation (GGA-PBE) of a geometry-optimized Pm2DyGa structure.

Properties
The calculation puts the magnetization at 0.0 μB/cell. As for the space group: P2_1/m. The value obtained for the calculated volume is 234 Å³ per cell.

```
8
Lattice="3.681 0.000 0.000 0.000 9.916 0.000 -1.840 0.000 6.423" Properties=species:S:1:pos:R:3 pbc="T T T"
Pm 0.000 0.472 1.742
Pm 0.000 4.486 1.742
Pm 1.841 5.430 4.681
Pm 1.841 9.444 4.681
Dy -0.002 2.479 5.706
Dy 1.843 7.437 0.717
Ga 0.004 7.437 3.117
Ga 1.837 2.479 3.306
```


Tell me which of them is the least stable. Sure, it is x).


w) The following is a DFT calculation (GGA-PBE) of a geometry-optimized Pm2DyGa structure.

Properties
The calculation puts the magnetization at 0.7 μB/cell. As for the space group: R-3m. The value obtained for the calculated volume is 125 Å³ per cell.

```
4
Lattice="1.775 1.025 11.481 -1.775 1.025 11.481 0.000 -2.050 11.481" Properties=species:S:1:pos:R:3 pbc="T T T"
Pm 0.000 0.000 3.497
Pm 0.000 0.000 30.946
Dy 0.000 0.000 0.000
Ga 0.000 0.000 17.221
```


x) The following is a DFT calculation (GGA-PBE) of a geometry-optimized Pm2DyGa structure.

Properties
The calculation puts the magnetization at 0.0 μB/cell. As for the space group: P4/mmm. The value obtained for the calculated volume is 116 Å³ per cell.

```
4
Lattice="3.589 0.000 0.000 0.000 3.589 0.000 0.000 0.000 9.023" Properties=species:S:1:pos:R:3 pbc="T T T"
Pm 0.000 0.000 1.911
Pm 0.000 0.000 7.112
Dy 1.795 1.795 4.511
Ga 1.795 1.795 0.000
```


y) The following is a DFT calculation (GGA-PBE) of a geometry-optimized Pm2DyGa structure.

Properties
The calculation puts the magnetization at 0.6 μB/cell. As for the space group: R3m. The value obtained for the calculated volume is 122 Å³ per cell.

```
4
Lattice="1.846 1.066 10.376 -1.846 1.066 10.376 0.000 -2.131 10.376" Properties=species:S:1:pos:R:3 pbc="T T T"
Pm 0.000 0.000 0.000
Pm 0.000 0.000 5.922
Dy 0.000 0.000 23.707
Ga 0.000 0.000 18.537
```


Tell me which of them is the least stable. Sure, it is w).


w) The following is a DFT calculation (GGA-PBE) of a geometry-optimized Pm2DyGa2 structure.

Properties
The calculation puts the magnetization at 0.0 μB/cell. As for the space group: P4/mbm. The value obtained for the calculated volume is 268 Å³ per cell.

```
10
Lattice="7.717 0.000 0.000 0.000 7.717 0.000 0.000 0.000 4.499" Properties=species:S:1:pos:R:3 pbc="T T T"
Pm 1.346 2.513 0.000
Pm 2.513 6.371 0.000
Pm 5.204 1.346 0.000
Pm 6.371 5.204 0.000
Dy 0.000 0.000 2.249
Dy 3.859 3.859 2.249
Ga 0.921 4.780 2.249
Ga 2.937 0.921 2.249
Ga 4.780 6.796 2.249
Ga 6.796 2.937 2.249
```


x) The following is a DFT calculation (GGA-PBE) of a geometry-optimized Pm2DyGa2 structure.

Properties
The calculation puts the magnetization at 0.0 μB/cell. As for the space group: P2_1/m. The value obtained for the calculated volume is 283 Å³ per cell.

```
10
Lattice="5.942 0.000 0.000 0.000 3.976 0.000 -0.477 0.000 11.972" Properties=species:S:1:pos:R:3 pbc="T T T"
Pm 0.433 0.994 4.388
Pm 1.543 0.994 0.780
Pm 3.922 2.982 11.192
Pm 5.031 2.982 7.584
Dy 2.034 0.994 8.459
Dy 3.431 2.982 3.513
Ga 0.962 2.982 10.357
Ga 1.893 2.982 6.175
Ga 3.571 0.994 5.797
Ga 4.502 0.994 1.615
```


Tell me which of them is the least stable. Sure, it is x).


w) The following is a DFT calculation (GGA-PBE) of a geometry-optimized PmDyGa structure.

Properties
The calculation puts the magnetization at 0.0 μB/cell. As for the space group: F-43m. The value obtained for the calculated volume is 89 Å³ per cell.

```
3
Lattice="0.000 3.546 3.546 3.546 0.000 3.546 3.546 3.546 0.000" Properties=species:S:1:pos:R:3 pbc="T T T"
Pm 0.000 0.000 0.000
Dy 3.546 3.546 3.546
Ga 1.773 1.773 1.773
```


x) The following is a DFT calculation (GGA-PBE) of a geometry-optimized PmDyGa structure.

Properties
The calculation puts the magnetization at 0.0 μB/cell. As for the space group: P-62m. The value obtained for the calculated volume is 245 Å³ per cell.

```
9
Lattice="7.957 0.000 0.000 -3.978 6.891 0.000 0.000 0.000 4.472" Properties=species:S:1:pos:R:3 pbc="T T T"
Pm -2.381 4.124 0.000
Pm 1.598 2.767 0.000
Pm 4.761 0.000 0.000
Dy -1.059 1.834 2.236
Dy 2.118 0.000 2.236
Dy 2.920 5.057 2.236
Ga 0.000 0.000 0.000
Ga 0.000 4.594 2.236
Ga 3.978 2.297 2.236
```


y) The following is a DFT calculation (GGA-PBE) of a geometry-optimized PmDyGa structure.

Properties
The calculation puts the magnetization at 0.0 μB/cell. As for the space group: P-1. The value obtained for the calculated volume is 162 Å³ per cell.

```
6
Lattice="3.716 0.000 0.000 0.000 5.260 0.000 -1.855 -0.006 8.293" Properties=species:S:1:pos:R:3 pbc="T T T"
Pm 0.002 1.309 1.260
Pm 1.859 3.945 7.033
Dy 0.001 3.942 3.689
Dy 1.860 1.313 4.604
Ga 0.002 1.317 6.971
Ga 1.859 3.937 1.322
```


z) The following is a DFT calculation (GGA-PBE) of a geometry-optimized PmDyGa structure.

Properties
The calculation puts the magnetization at 0.0 μB/cell. As for the space group: P3m1. The value obtained for the calculated volume is 81 Å³ per cell.

```
3
Lattice="5.005 0.000 0.000 -2.502 4.334 0.000 0.000 0.000 3.741" Properties=species:S:1:pos:R:3 pbc="T T T"
Pm 0.000 0.000 0.000
Dy 0.000 2.890 1.714
Ga 2.502 1.445 2.499
```


Tell me which of them is the least stable. Sure, it is w).


w) The following is a DFT calculation (GGA-PBE) of a geometry-optimized PmDyGa structure.

Properties
The calculation puts the magnetization at 0.0 μB/cell. As for the space group: Pnma. The value obtained for the calculated volume is 331 Å³ per cell.

```
12
Lattice="8.045 0.000 0.000 0.000 4.711 0.000 0.000 0.000 8.727" Properties=species:S:1:pos:R:3 pbc="T T T"
Pm 0.171 1.178 1.441
Pm 3.852 3.533 5.805
Pm 4.193 1.178 2.922
Pm 7.874 3.533 7.286
Dy 1.158 1.178 5.055
Dy 2.864 3.533 0.692
Dy 5.181 1.178 8.035
Dy 6.886 3.533 3.671
Ga 1.842 3.533 3.416
Ga 2.180 1.178 7.779
Ga 5.864 3.533 0.947
Ga 6.203 1.178 5.311
```


x) The following is a DFT calculation (GGA-PBE) of a geometry-optimized PmDyGa structure.

Properties
The calculation puts the magnetization at 0.0 μB/cell. As for the space group: I4mm. The value obtained for the calculated volume is 82 Å³ per cell.

```
3
Lattice="-1.758 1.758 6.632 1.758 -1.758 6.632 1.758 1.758 -6.632" Properties=species:S:1:pos:R:3 pbc="T T T"
Pm 0.000 0.000 0.000
Dy 0.000 0.000 9.432
Ga 0.000 0.000 4.637
```


Tell me which of them is the least stable. Sure, it is x).


w) The following is a DFT calculation (GGA-PBE) of a geometry-optimized PmDy2Ga6 structure.

Properties
The calculation puts the magnetization at 0.0 μB/cell. As for the space group: P6/mmm. The value obtained for the calculated volume is 193 Å³ per cell.

```
9
Lattice="7.319 0.000 0.000 -3.659 6.338 0.000 0.000 0.000 4.166" Properties=species:S:1:pos:R:3 pbc="T T T"
Pm 0.000 0.000 0.000
Dy 0.000 4.226 0.000
Dy 3.659 2.113 0.000
Ga -1.224 2.119 2.083
Ga -2.436 4.219 2.083
Ga 2.447 0.000 2.083
Ga 1.224 2.119 2.083
Ga 4.872 0.000 2.083
Ga 2.436 4.219 2.083
```


x) The following is a DFT calculation (GGA-PBE) of a geometry-optimized PmDy2Ga6 structure.

Properties
The calculation puts the magnetization at 0.0 μB/cell. As for the space group: Immm. The value obtained for the calculated volume is 203 Å³ per cell.

```
9
Lattice="-2.168 3.544 6.622 2.168 -3.544 6.622 2.168 3.544 -6.622" Properties=species:S:1:pos:R:3 pbc="T T T"
Pm 0.000 0.000 0.000
Dy 2.168 0.000 4.944
Dy 0.000 3.544 1.678
Ga 2.168 1.373 -2.438
Ga 2.168 2.237 0.000
Ga 2.168 1.373 2.438
Ga 0.000 2.171 4.184
Ga 0.000 1.307 6.622
Ga 0.000 2.171 9.059
```


Tell me which of them is the least stable. Sure, it is x).